No. 1
# VIn2Pd9 (GGA-PBE, optimized geometry)
# DOS at the Fermi energy in states/eV/cell: 5.483
# Formation enthalpy at 0 K in kJ/mol of atoms: -38.20
data_VIn2Pd9
_symmetry_space_group_name_H-M 'P 4/m m m'
_symmetry_Int_Tables_number 123
_symmetry_space_group_name_Hall '-P 4 2'
_cell_length_a 3.9803
_cell_length_b 3.9803
_cell_length_c 11.9880
_cell_angle_alpha 90.00
_cell_angle_beta 90.00
_cell_angle_gamma 90.00
loop_
_atom_site_label
_atom_site_type_symbol
_atom_site_fract_x
_atom_site_fract_y
_atom_site_fract_z
V1 V 0.0000 0.0000 0.0000
In1 In 0.0000 0.0000 0.3313
Pd1 Pd 0.0000 0.5000 0.1536
Pd2 Pd 0.0000 0.5000 0.5000
Pd3 Pd 0.5000 0.5000 0.0000
Pd4 Pd 0.5000 0.5000 0.3269

No. 2
# VInPd4 (GGA-PBE, optimized geometry)
# DOS at the Fermi energy in states/eV/cell: 9.459
# Formation enthalpy at 0 K in kJ/mol of atoms: -9.09
data_VInPd4
_symmetry_space_group_name_H-M 'P m m a'
_symmetry_Int_Tables_number 51
_symmetry_space_group_name_Hall '-P 2a 2a'
_cell_length_a 5.6153
_cell_length_b 6.9778
_cell_length_c 5.6154
_cell_angle_alpha 90.00
_cell_angle_beta 90.00
_cell_angle_gamma 90.00
loop_
_atom_site_label
_atom_site_type_symbol
_atom_site_fract_x
_atom_site_fract_y
_atom_site_fract_z
V1 V 0.2500 0.0000 0.2489
In1 In 0.2500 0.5000 0.7489
Pd1 Pd 0.0000 0.2232 0.5000
Pd2 Pd 0.0000 0.2243 0.0000

No. 3
# VIn3Pd (GGA-PBE, optimized geometry)
# Energy above the most stable polymorph in this dataset in meV per atom: 266
# DOS at the Fermi energy in states/eV/cell: 4.675
# Formation enthalpy at 0 K in kJ/mol of atoms: 71.57
data_VIn3Pd
_symmetry_space_group_name_H-M 'P m -3 m'
_symmetry_Int_Tables_number 221
_symmetry_space_group_name_Hall '-P 4 2 3'
_cell_length_a 5.1082
_cell_length_b 5.1082
_cell_length_c 5.1082
_cell_angle_alpha 90.00
_cell_angle_beta 90.00
_cell_angle_gamma 90.00
loop_
_atom_site_label
_atom_site_type_symbol
_atom_site_fract_x
_atom_site_fract_y
_atom_site_fract_z
V1 V 0.0000 0.0000 0.0000
In1 In 0.0000 0.0000 0.5000
Pd1 Pd 0.5000 0.5000 0.5000

No. 4
# VIn2Pd (GGA-PBE, optimized geometry)
# Energy above the most stable polymorph in this dataset in meV per atom: 422
# DOS at the Fermi energy in states/eV/cell: 9.866
# Formation enthalpy at 0 K in kJ/mol of atoms: 32.44
data_VIn2Pd
_symmetry_space_group_name_H-M 'R -3 m'
_symmetry_Int_Tables_number 166
_symmetry_space_group_name_Hall '-R 3 2"'
_cell_length_a 3.0331
_cell_length_b 3.0331
_cell_length_c 29.8838
_cell_angle_alpha 90.00
_cell_angle_beta 90.00
_cell_angle_gamma 120.00
loop_
_atom_site_label
_atom_site_type_symbol
_atom_site_fract_x
_atom_site_fract_y
_atom_site_fract_z
V1 V 0.0000 0.0000 0.0000
In1 In 0.0000 0.0000 0.0919
Pd1 Pd 0.0000 0.0000 0.5000

No. 5
# VIn4Pd15 (GGA-PBE, optimized geometry)
# DOS at the Fermi energy in states/eV/cell: 15.062
# Formation enthalpy at 0 K in kJ/mol of atoms: -39.08
data_VIn4Pd15
_symmetry_space_group_name_H-M 'P 4/m m m'
_symmetry_Int_Tables_number 123
_symmetry_space_group_name_Hall '-P 4 2'
_cell_length_a 3.9924
_cell_length_b 3.9924
_cell_length_c 20.1758
_cell_angle_alpha 90.00
_cell_angle_beta 90.00
_cell_angle_gamma 90.00
loop_
_atom_site_label
_atom_site_type_symbol
_atom_site_fract_x
_atom_site_fract_y
_atom_site_fract_z
V1 V 0.0000 0.0000 0.0000
In1 In 0.0000 0.0000 0.1967
In2 In 0.0000 0.0000 0.3984
Pd1 Pd 0.0000 0.5000 0.0909
Pd2 Pd 0.0000 0.5000 0.2962
Pd3 Pd 0.0000 0.5000 0.5000
Pd4 Pd 0.5000 0.5000 0.0000
Pd5 Pd 0.5000 0.5000 0.1931
Pd6 Pd 0.5000 0.5000 0.3977

No. 6
# VIn2Pd2 (GGA-PBE, optimized geometry)
# Energy above the most stable polymorph in this dataset in meV per atom: 45
# DOS at the Fermi energy in states/eV/cell: 6.634
# Formation enthalpy at 0 K in kJ/mol of atoms: -7.85
data_VIn2Pd2
_symmetry_space_group_name_H-M 'P 4/m b m'
_symmetry_Int_Tables_number 127
_symmetry_space_group_name_Hall '-P 4 2ab'
_cell_length_a 7.7471
_cell_length_b 7.7471
_cell_length_c 3.1040
_cell_angle_alpha 90.00
_cell_angle_beta 90.00
_cell_angle_gamma 90.00
loop_
_atom_site_label
_atom_site_type_symbol
_atom_site_fract_x
_atom_site_fract_y
_atom_site_fract_z
V1 V 0.0000 0.0000 0.0000
In1 In 0.1414 0.3586 0.0000
Pd1 Pd 0.1581 0.6581 0.5000

No. 7
# VIn2Pd8 (GGA-PBE, optimized geometry)
# Energy above the most stable polymorph in this dataset in meV per atom: 0
# DOS at the Fermi energy in states/eV/cell: 15.659
# Formation enthalpy at 0 K in kJ/mol of atoms: -31.92
data_VIn2Pd8
_symmetry_space_group_name_H-M 'C 1 2/m 1'
_symmetry_Int_Tables_number 12
_symmetry_space_group_name_Hall '-C 2y'
_cell_length_a 14.2128
_cell_length_b 4.0839
_cell_length_c 6.3840
_cell_angle_alpha 90.00
_cell_angle_beta 107.62
_cell_angle_gamma 90.00
loop_
_atom_site_label
_atom_site_type_symbol
_atom_site_fract_x
_atom_site_fract_y
_atom_site_fract_z
V1 V 0.0000 0.0000 0.0000
In1 In 0.2187 0.5000 0.6539
Pd1 Pd 0.0385 0.5000 0.7300
Pd2 Pd 0.0927 0.0000 0.4409
Pd3 Pd 0.1351 0.5000 0.1750
Pd4 Pd 0.1740 0.0000 0.9127

No. 8
# VIn2Pd (GGA-PBE, optimized geometry)
# Energy above the most stable polymorph in this dataset in meV per atom: 0
# DOS at the Fermi energy in states/eV/cell: 2.671
# Formation enthalpy at 0 K in kJ/mol of atoms: -8.24
data_VIn2Pd
_symmetry_space_group_name_H-M 'P 4/m m m'
_symmetry_Int_Tables_number 123
_symmetry_space_group_name_Hall '-P 4 2'
_cell_length_a 4.5161
_cell_length_b 4.5161
_cell_length_c 3.5664
_cell_angle_alpha 90.00
_cell_angle_beta 90.00
_cell_angle_gamma 90.00
loop_
_atom_site_label
_atom_site_type_symbol
_atom_site_fract_x
_atom_site_fract_y
_atom_site_fract_z
V1 V 0.0000 0.0000 0.0000
In1 In 0.0000 0.5000 0.5000
Pd1 Pd 0.5000 0.5000 0.0000

No. 9
# InPdW2 (GGA-PBE, optimized geometry)
# DOS at the Fermi energy in states/eV/cell: 14.527
# Formation enthalpy at 0 K in kJ/mol of atoms: 65.38
data_InPdW2
_symmetry_space_group_name_H-M 'I -4 2 d'
_symmetry_Int_Tables_number 122
_symmetry_space_group_name_Hall 'I -4 2bw'
_cell_length_a 3.7785
_cell_length_b 3.7785
_cell_length_c 20.4922
_cell_angle_alpha 90.00
_cell_angle_beta 90.00
_cell_angle_gamma 90.00
loop_
_atom_site_label
_atom_site_type_symbol
_atom_site_fract_x
_atom_site_fract_y
_atom_site_fract_z
In1 In 0.0000 0.0000 0.0000
Pd1 Pd 0.0000 0.0000 0.5000
W1 W 0.2468 0.2500 0.1250

No. 10
# In3Pd12W (GGA-PBE, optimized geometry)
# DOS at the Fermi energy in states/eV/cell: 7.986
# Formation enthalpy at 0 K in kJ/mol of atoms: -34.69
data_In3Pd12W
_symmetry_space_group_name_H-M 'P 4/m m m'
_symmetry_Int_Tables_number 123
_symmetry_space_group_name_Hall '-P 4 2'
_cell_length_a 3.9929
_cell_length_b 3.9929
_cell_length_c 16.2128
_cell_angle_alpha 90.00
_cell_angle_beta 90.00
_cell_angle_gamma 90.00
loop_
_atom_site_label
_atom_site_type_symbol
_atom_site_fract_x
_atom_site_fract_y
_atom_site_fract_z
In1 In 0.0000 0.0000 0.0000
In2 In 0.0000 0.0000 0.2486
Pd1 Pd 0.0000 0.5000 0.1269
Pd2 Pd 0.0000 0.5000 0.3848
Pd3 Pd 0.5000 0.5000 0.0000
Pd4 Pd 0.5000 0.5000 0.2568
Pd5 Pd 0.5000 0.5000 0.5000
W1 W 0.0000 0.0000 0.5000

No. 11
# Y2InPd4 (GGA-PBE, optimized geometry)
# Energy above the most stable polymorph in this dataset in meV per atom: 0
# DOS at the Fermi energy in states/eV/cell: 6.190
# Formation enthalpy at 0 K in kJ/mol of atoms: -66.96
data_Y2InPd4
_symmetry_space_group_name_H-M 'C 1 2/m 1'
_symmetry_Int_Tables_number 12
_symmetry_space_group_name_Hall '-C 2y'
_cell_length_a 7.8445
_cell_length_b 5.0420
_cell_length_c 7.5516
_cell_angle_alpha 90.00
_cell_angle_beta 94.92
_cell_angle_gamma 90.00
loop_
_atom_site_label
_atom_site_type_symbol
_atom_site_fract_x
_atom_site_fract_y
_atom_site_fract_z
Y1 Y 0.2053 0.0000 0.2914
In1 In 0.0000 0.5000 0.0000
Pd1 Pd 0.0840 0.5000 0.3572
Pd2 Pd 0.1494 0.0000 0.8921

No. 12
# YIn4Pd15 (GGA-PBE, optimized geometry)
# DOS at the Fermi energy in states/eV/cell: 18.024
# Formation enthalpy at 0 K in kJ/mol of atoms: -49.48
data_YIn4Pd15
_symmetry_space_group_name_H-M 'P 4/m m m'
_symmetry_Int_Tables_number 123
_symmetry_space_group_name_Hall '-P 4 2'
_cell_length_a 4.0707
_cell_length_b 4.0707
_cell_length_c 20.1711
_cell_angle_alpha 90.00
_cell_angle_beta 90.00
_cell_angle_gamma 90.00
loop_
_atom_site_label
_atom_site_type_symbol
_atom_site_fract_x
_atom_site_fract_y
_atom_site_fract_z
Y1 Y 0.0000 0.0000 0.0000
In1 In 0.0000 0.0000 0.2041
In2 In 0.0000 0.0000 0.4010
Pd1 Pd 0.0000 0.5000 0.1044
Pd2 Pd 0.0000 0.5000 0.3022
Pd3 Pd 0.0000 0.5000 0.5000
Pd4 Pd 0.5000 0.5000 0.0000
Pd5 Pd 0.5000 0.5000 0.2026
Pd6 Pd 0.5000 0.5000 0.4013

DFT total energy for the records above, in order: -66.08; -66.39; -18.82; -55.33; -106.07; -50.78; -119.55; -20.13; -124.51; -89.24; -82.59; -105.57 eV/cell